(1)
# Zr3NiBr | Alexandria | meta-GGA SCAN | PBEsol geometry
# crystal system	cubic
# ρ	6.0	g/cm3
# formation energy from raw total energies	0.233	eV per atom
data_Zr3NiBr
_symmetry_space_group_name_H-M 'P m -3 m'
_symmetry_Int_Tables_number 221
_symmetry_space_group_name_Hall '-P 4 2 3'
_cell_length_a 4.859
_cell_length_b 4.859
_cell_length_c 4.859
_cell_angle_alpha 90.00
_cell_angle_beta 90.00
_cell_angle_gamma 90.00
loop_
_atom_site_label
_atom_site_type_symbol
_atom_site_fract_x
_atom_site_fract_y
_atom_site_fract_z
Zr1 Zr 0.000 0.000 0.500
Ni1 Ni 0.000 0.000 0.000
Br1 Br 0.500 0.500 0.500



(2)
# BeSiRh2 | Alexandria | meta-GGA SCAN | PBEsol geometry
# crystal system	cubic
# ρ	8.8	g/cm3
# energy relative to the lowest polymorph listed for this composition	0.0	kJ per mole of atoms
# formation energy from raw total energies	-0.983	eV per atom
data_BeSiRh2
_symmetry_space_group_name_H-M 'F m -3 m'
_symmetry_Int_Tables_number 225
_symmetry_space_group_name_Hall '-F 4 2 3'
_cell_length_a 5.672
_cell_length_b 5.672
_cell_length_c 5.672
_cell_angle_alpha 90.00
_cell_angle_beta 90.00
_cell_angle_gamma 90.00
loop_
_atom_site_label
_atom_site_type_symbol
_atom_site_fract_x
_atom_site_fract_y
_atom_site_fract_z
Be1 Be 0.000 0.000 0.000
Si1 Si 0.000 0.000 0.500
Rh1 Rh 0.250 0.250 0.250



(3)
# BeMoIr | Alexandria | meta-GGA SCAN | PBEsol geometry
# energy of formation	-0.480	eV/atom
# crystal system	tetragonal
# ρ	13.4	g/cm3
data_BeMoIr
_symmetry_space_group_name_H-M 'I 4 m m'
_symmetry_Int_Tables_number 107
_symmetry_space_group_name_Hall 'I 4 -2'
_cell_length_a 2.787
_cell_length_b 2.787
_cell_length_c 9.509
_cell_angle_alpha 90.00
_cell_angle_beta 90.00
_cell_angle_gamma 90.00
loop_
_atom_site_label
_atom_site_type_symbol
_atom_site_fract_x
_atom_site_fract_y
_atom_site_fract_z
Be1 Be 0.000 0.000 0.000
Mo1 Mo 0.000 0.000 0.327
Ir1 Ir 0.000 0.000 0.635



(4)
# SrH16O10 | Alexandria | meta-GGA SCAN | PBEsol geometry
# crystal system	triclinic
# ρ	2.0	g/cm3
# energy relative to the lowest polymorph listed for this composition	0.0	kJ per mole of atoms
data_SrH16O10
_symmetry_space_group_name_H-M 'P 1'
_symmetry_Int_Tables_number 1
_symmetry_space_group_name_Hall 'P 1'
_cell_length_a 6.096
_cell_length_b 6.365
_cell_length_c 11.078
_cell_angle_alpha 91.52
_cell_angle_beta 90.91
_cell_angle_gamma 90.66
loop_
_atom_site_label
_atom_site_type_symbol
_atom_site_fract_x
_atom_site_fract_y
_atom_site_fract_z
Sr1 Sr 0.000 0.000 0.000
Sr2 Sr 0.011 0.038 0.475
H1 H 0.004 0.309 0.838
H2 H 0.032 0.569 0.355
H3 H 0.125 0.395 0.665
H4 H 0.145 0.698 0.206
H5 H 0.252 0.439 0.866
H6 H 0.284 0.639 0.373
H7 H 0.286 0.622 0.086
H8 H 0.301 0.433 0.565
H9 H 0.326 0.907 0.752
H10 H 0.330 0.169 0.254
H11 H 0.383 0.767 0.867
H12 H 0.404 0.297 0.077
H13 H 0.404 0.311 0.371
H14 H 0.412 0.772 0.579
H15 H 0.468 0.051 0.099
H16 H 0.473 0.019 0.598
H17 H 0.547 0.002 0.354
H18 H 0.583 0.067 0.850
H19 H 0.607 0.740 0.084
H20 H 0.609 0.754 0.370
H21 H 0.616 0.313 0.874
H22 H 0.623 0.340 0.576
H23 H 0.676 0.882 0.206
H24 H 0.692 0.652 0.875
H25 H 0.704 0.197 0.687
H26 H 0.727 0.423 0.367
H27 H 0.732 0.411 0.071
H28 H 0.742 0.679 0.581
H29 H 0.851 0.772 0.702
H30 H 0.865 0.341 0.251
H31 H 0.946 0.614 0.846
H32 H 0.983 0.481 0.098
O1 O 0.100 0.428 0.820
O2 O 0.134 0.695 0.346
O3 O 0.140 0.686 0.113
O4 O 0.163 0.350 0.582
O5 O 0.334 0.911 0.845
O6 O 0.342 0.154 0.103
O7 O 0.345 0.165 0.345
O8 O 0.350 0.913 0.607
O9 O 0.478 0.514 0.908
O10 O 0.499 0.515 0.041
O11 O 0.512 0.540 0.405
O12 O 0.522 0.552 0.537
O13 O 0.666 0.884 0.113
O14 O 0.671 0.898 0.345
O15 O 0.680 0.193 0.598
O16 O 0.701 0.178 0.852
O17 O 0.834 0.730 0.858
O18 O 0.867 0.770 0.613
O19 O 0.873 0.357 0.342
O20 O 0.881 0.352 0.096



(5)
# Y3Al12Os4 | Alexandria | meta-GGA SCAN | PBEsol geometry
# energy of formation	-0.724	eV/atom
# crystal system	hexagonal
# ρ	7.1	g/cm3
data_Y3Al12Os4
_symmetry_space_group_name_H-M 'P 63/m m c'
_symmetry_Int_Tables_number 194
_symmetry_space_group_name_Hall '-P 6c 2c'
_cell_length_a 8.7483
_cell_length_b 8.7483
_cell_length_c 9.5146
_cell_angle_alpha 90.00
_cell_angle_beta 90.00
_cell_angle_gamma 120.00
loop_
_atom_site_label
_atom_site_type_symbol
_atom_site_fract_x
_atom_site_fract_y
_atom_site_fract_z
Y1 Y 0.1929 0.3857 0.2500
Al1 Al 0.0000 0.0000 0.2500
Al2 Al 0.1221 0.5611 0.7500
Al3 Al 0.1633 0.3266 0.5751
Al4 Al 0.3333 0.6667 0.0178
Os1 Os 0.0000 0.0000 0.0000
Os2 Os 0.0000 0.5000 0.0000



(6)
# ReSi2Se | Alexandria | meta-GGA SCAN | PBEsol geometry
# crystal system	orthorhombic
# ρ	8.5	g/cm3
# formation energy from raw total energies	0.136	eV per atom
data_ReSi2Se
_symmetry_space_group_name_H-M 'P m m m'
_symmetry_Int_Tables_number 47
_symmetry_space_group_name_Hall '-P 2 2'
_cell_length_a 2.929
_cell_length_b 3.077
_cell_length_c 6.959
_cell_angle_alpha 90.00
_cell_angle_beta 90.00
_cell_angle_gamma 90.00
loop_
_atom_site_label
_atom_site_type_symbol
_atom_site_fract_x
_atom_site_fract_y
_atom_site_fract_z
Re1 Re 0.000 0.000 0.000
Si1 Si 0.500 0.500 0.201
Se1 Se 0.500 0.000 0.500